# PmPrPa2P4

A relaxed structure of PmPrPa2P4 (PBE-GGA, Alexandria).

a b c (Å): 4.0532 7.0481 7.0207
angles (deg): 70.60 90.00 90.00
Fractional positions:
Pa1 0.5000 0.0000 0.5000
Pa2 0.0000 0.0000 0.0000
P1 0.0000 0.2321 0.2579
P2 0.5000 0.2336 0.7536
P3 0.5000 0.7664 0.2464
P4 0.0000 0.7679 0.7421
Pr1 0.5000 0.5000 0.0000
Pm1 0.0000 0.5000 0.5000

SG   No. 10
ΔH_f (0 K)   -1.429 eV per atom

# BaCd2Hg

A relaxed structure of BaCd2Hg (PBE-GGA, Alexandria).

a b c (Å): 4.8738 4.9238 5.3372
angles (deg): 90.00 90.00 90.00
Fractional positions:
Ba1 0.0000 0.5000 0.5000
Cd1 0.5000 0.5000 0.0000
Cd2 0.0000 0.0000 0.0000
Hg1 0.5000 0.0000 0.5000

SG   No. 47
ΔH_f (0 K)   -0.227 eV per atom

# ZrUBe17

A relaxed structure of ZrUBe17 (PBE-GGA, Alexandria).

a b c (Å): 5.7489 5.7489 5.7489
angles (deg): 82.79 82.79 82.79
Last column: magnetic moment on the atom in μB.
Fractional positions:
Be1 0.7170 0.9992 0.2835  0.00
Be2 0.3419 0.8423 0.3419  0.00
Be3 0.1566 0.6597 0.6597  0.00
Be4 0.7170 0.2835 0.9992  0.00
Be5 0.9035 0.9035 0.9035  -0.01
Be6 0.6597 0.6597 0.1566  0.00
Be7 0.2835 0.7170 0.9992  0.00
Be8 0.0948 0.0948 0.0948  0.00
Be9 0.6597 0.1566 0.6597  0.00
Be10 0.9998 0.4994 0.9998  -0.01
Be11 0.4994 0.9998 0.9998  -0.01
Be12 0.3419 0.3419 0.8423  0.00
Be13 0.9998 0.9998 0.4994  -0.01
Be14 0.2835 0.9992 0.7170  0.00
Be15 0.8423 0.3419 0.3419  0.00
Be16 0.9992 0.2835 0.7170  0.00
Be17 0.9992 0.7170 0.2835  0.00
U1 0.3390 0.3390 0.3390  1.54
Zr1 0.6621 0.6621 0.6621  -0.05

SG   No. 160
ΔH_f (0 K)   -0.116 eV per atom

# InAgPb

A relaxed structure of InAgPb (PBE-GGA, Alexandria).

a b c (Å): 6.9465 6.9468 3.3806
angles (deg): 75.91 75.92 28.17
Fractional positions:
Pb1 0.6560 0.6560 0.3440
Ag1 0.9928 0.9928 0.0072
In1 0.3512 0.3512 0.6488

SG   No. 107
ΔH_f (0 K)   0.045 eV per atom

# Ti2BiC

A relaxed structure of Ti2BiC (PBE-GGA, Alexandria).

a b c (Å): 3.2694 3.2694 7.4336
angles (deg): 90.02 90.02 60.00
Fractional positions:
Bi1 0.5325 0.5325 0.7939
Ti1 0.5319 0.5319 0.1881
Ti2 0.8653 0.8653 0.4673
C1 0.1986 0.1986 0.3226

SG   No. 156
ΔH_f (0 K)   -0.438 eV per atom

# CeAlTlCd

A relaxed structure of CeAlTlCd (PBE-GGA, Alexandria).

a b c (Å): 5.1631 5.1631 5.1631
angles (deg): 60.00 60.00 60.00
Last column: magnetic moment on the atom in μB.
Fractional positions:
Al1 0.5000 0.5000 0.5000  0.00
Ce1 0.2500 0.2500 0.2500  0.17
Cd1 0.7500 0.7500 0.7500  0.00
Tl1 0.0000 0.0000 0.0000  0.00

SG   No. 216
ΔH_f (0 K)   -0.106 eV per atom

# YMg2AsPt

A relaxed structure of YMg2AsPt (PBE-GGA, Alexandria).

a b c (Å): 5.7187 5.7187 5.1798
angles (deg): 90.00 90.00 90.00
Fractional positions:
Mg1 0.0000 0.5000 0.0000
Mg2 0.5000 0.0000 0.0000
As1 0.0000 0.0000 0.5000
Pt1 0.5000 0.5000 0.5000
Y1 0.0000 0.0000 0.0000

SG   No. 123
ΔH_f (0 K)   1.141 eV per atom

# Mg6InPb2

A relaxed structure of Mg6InPb2 (PBE-GGA, Alexandria).

a b c (Å): 4.1233 7.9155 7.9155
angles (deg): 120.00 90.00 90.00
Fractional positions:
Mg1 0.0000 0.6170 0.6170
Mg2 0.5000 0.0000 0.7397
Mg3 0.5000 0.2603 0.2603
Mg4 0.0000 0.3830 0.0000
Mg5 0.5000 0.7397 0.0000
Mg6 0.0000 0.0000 0.3830
Pb1 0.5000 0.6667 0.3333
Pb2 0.5000 0.3333 0.6667
In1 0.0000 0.0000 0.0000

Polymorph energy (0 for the lowest one)   0 meV per atom
SG   No. 189
ΔH_f (0 K)   -0.050 eV per atom

# LiZr

A relaxed structure of LiZr (PBE-GGA, Alexandria).

a b c (Å): 3.8514 3.8514 3.8514
angles (deg): 60.00 60.00 60.00
Fractional positions:
Zr1 0.5000 0.5000 0.5000
Li1 0.0000 0.0000 0.0000

Polymorph energy (0 for the lowest one)   784 meV per atom
SG   No. 225
ΔH_f (0 K)   0.868 eV per atom

# TbNd3Zn2

A relaxed structure of TbNd3Zn2 (PBE-GGA, Alexandria).

a b c (Å): 3.6838 3.6838 12.3878
angles (deg): 90.00 90.00 90.00
Fractional positions:
Nd1 0.0000 0.0000 0.7059
Nd2 0.0000 0.0000 0.0000
Nd3 0.0000 0.0000 0.2941
Tb1 0.5000 0.5000 0.5000
Zn1 0.5000 0.5000 0.1476
Zn2 0.5000 0.5000 0.8524

Polymorph energy (0 for the lowest one)   0 meV per atom
SG   No. 123
ΔH_f (0 K)   -0.199 eV per atom

# RbZrTl

A relaxed structure of RbZrTl (PBE-GGA, Alexandria).

a b c (Å): 13.6319 4.6615 3.8396
angles (deg): 90.00 89.62 99.59
Fractional positions:
Rb1 0.6571 0.8323 0.7584
Rb2 0.3429 0.1677 0.2416
Zr1 0.0872 0.5423 0.2479
Zr2 0.9128 0.4577 0.7521
Tl1 0.1017 0.0493 0.7475
Tl2 0.8983 0.9507 0.2525

Polymorph energy (0 for the lowest one)   81 meV per atom
SG   No. 2
ΔH_f (0 K)   0.146 eV per atom

# BaB2H6

A relaxed structure of BaB2H6 (PBE-GGA, Alexandria).

a b c (Å): 4.9850 4.9850 4.9850
angles (deg): 60.00 60.00 60.00
Fractional positions:
H1 0.3694 0.6306 0.3694
H2 0.6306 0.3694 0.3694
H3 0.6306 0.6306 0.3694
H4 0.6306 0.3694 0.6306
H5 0.3694 0.3694 0.6306
H6 0.3694 0.6306 0.6306
B1 0.7500 0.7500 0.7500
B2 0.2500 0.2500 0.2500
Ba1 0.0000 0.0000 0.0000

Polymorph energy (0 for the lowest one)   1820 meV per atom
SG   No. 225